# 1
DFT (GGA-PBE) results for a relaxed structure of LiLaRe2.

It has space group Cmmm (No. 65), with a = 5.3292 Å, b = 10.1969 Å, c = 2.7044 Å, α = 90.00°, β = 90.00° and γ = 90.00°. The distinct sites, in fractional coordinates, are Li at (0.0000, 0.0000, 0.0000), La at (0.0000, 0.5000, 0.0000) and Re at (0.2500, 0.2500, 0.5000).

Its energy above the most stable polymorph in this dataset is 174 kJ/mol of formula units. The energy of formation is 0.6885 eV/atom.

=====

# 2
DFT (GGA-PBE) results for a relaxed structure of LiTa3V.

It has space group Pm-3m (No. 221), with a = 4.3813 Å, b = 4.3813 Å, c = 4.3813 Å, α = 90.00°, β = 90.00° and γ = 90.00°. The distinct sites, in fractional coordinates, are Li at (0.0000, 0.0000, 0.0000), Ta at (0.0000, 0.0000, 0.5000) and V at (0.5000, 0.5000, 0.5000).

Its energy above the most stable polymorph in this dataset is 9 kJ/mol of formula units. The energy of formation is 1.2307 eV/atom.

=====

# 3
DFT (GGA-PBE) results for a relaxed structure of Ba2UInSe6.

It has space group P2_1/c (No. 14), with a = 7.4009 Å, b = 7.7592 Å, c = 12.9522 Å, α = 90.00°, β = 124.39° and γ = 90.00°. The distinct sites, in fractional coordinates, are Ba at (0.2242, 0.0751, 0.2474), U at (0.5000, 0.0000, 0.0000), In at (0.0000, 0.0000, 0.5000), Se at (0.1571, 0.1971, 0.9578), Se at (0.2629, 0.7011, 0.9566) and Se at (0.3363, 0.0096, 0.7510).

The raw total energy comes out at -5.218 eV/atom.

=====

# 4
DFT (GGA-PBE) results for a relaxed structure of Al2TcPt.

It has space group Pm (No. 6), with a = 2.7429 Å, b = 4.2788 Å, c = 5.1817 Å, α = 90.00°, β = 105.25° and γ = 90.00°. The distinct sites, in fractional coordinates, are Al at (0.0000, 0.0000, 0.0000), Al at (0.1627, 0.5000, 0.3281), Tc at (0.4262, 0.5000, 0.8504) and Pt at (0.7424, 0.0000, 0.4867).

The energy of formation is -0.5201 eV/atom.

=====

# 5
DFT (GGA-PBE) results for a relaxed structure of La2CoSiSn.

It has space group P4/mmm (No. 123), with a = 5.3432 Å, b = 5.3432 Å, c = 4.4457 Å, α = 90.00°, β = 90.00° and γ = 90.00°. The distinct sites, in fractional coordinates, are La at (0.0000, 0.5000, 0.0000), Co at (0.0000, 0.0000, 0.0000), Si at (0.0000, 0.0000, 0.5000) and Sn at (0.5000, 0.5000, 0.5000).

Its energy above the most stable polymorph in this dataset is 0 kJ/mol of formula units.

=====

# 6
DFT (GGA-PBE) results for a relaxed structure of Dy5AgIr2.

It has space group I4/mcm (No. 140), with a = 7.7403 Å, b = 7.7403 Å, c = 13.3428 Å, α = 90.00°, β = 90.00° and γ = 90.00°. The distinct sites, in fractional coordinates, are Dy at (0.0000, 0.0000, 0.0000), Dy at (0.1595, 0.3405, 0.1352), Ag at (0.0000, 0.0000, 0.2500) and Ir at (0.1408, 0.3592, 0.5000).

The energy of formation is -0.6361 eV/atom.

=====

# 7
DFT (GGA-PBE) results for a relaxed structure of VRe8B2.

It has space group C2/m (No. 12), with a = 6.8372 Å, b = 10.2726 Å, c = 4.3962 Å, α = 90.00°, β = 106.08° and γ = 90.00°. The distinct sites, in fractional coordinates, are V at (0.0000, 0.0000, 0.0000), Re at (0.0000, 0.2479, 0.0000), Re at (0.1109, 0.5000, 0.8066), Re at (0.2026, 0.1278, 0.6098) and B at (0.0000, 0.3144, 0.5000).

The energy of formation is -0.0352 eV/atom.

=====

# 8
DFT (GGA-PBE) results for a relaxed structure of Hf4HgAu.

It has space group P4/mmm (No. 123), with a = 3.2941 Å, b = 3.2941 Å, c = 11.7193 Å, α = 90.00°, β = 90.00° and γ = 90.00°. The distinct sites, in fractional coordinates, are Hf at (0.0000, 0.0000, 0.1586), Hf at (0.5000, 0.5000, 0.3299), Hg at (0.0000, 0.0000, 0.5000) and Au at (0.5000, 0.5000, 0.0000).

The energy of formation is -0.2775 eV/atom.

=====

| no. | DOS(E_F) (states/eV/f.u.) |
| --- | --- |
| 1 | 3.721 |
| 2 | 4.371 |
| 3 | 4.310 |
| 4 | 2.486 |
| 5 | 3.805 |
| 6 | 7.536 |
| 7 | 6.996 |
| 8 | 4.191 |